(1)
# Tb3Ga2Ni7

Tb3Ga2Ni7 after structural relaxation (GGA-PBE, Alexandria via LeMat-Bulk).

Its formation energy is -501.8 meV per atom. Its crystal system is trigonal.

The structure belongs to space group R-3m (No. 166, hexagonal axes); the cell edges are 5.1588, 5.1588 and 23.8687 Å and the angles 90.00°, 90.00° and 120.00°. The distinct sites, in fractional coordinates, are Tb at (0.0000, 0.0000, 0.0000), Tb at (0.0000, 0.0000, 0.1408), Ga at (0.0000, 0.0000, 0.3321), Ni at (0.0000, 0.0000, 0.5000) and Ni at (0.0034, 0.5017, 0.0823).

***

(2)
# Tb3GaNi3

Tb3GaNi3 after structural relaxation (GGA-PBE, Alexandria via LeMat-Bulk).

Its formation energy is -520.3 meV per atom. The distance to the lowest polymorph of the same formula comes out at 0.00 kcal/mol of atoms. Its crystal system is orthorhombic.

The structure belongs to space group Cmcm (No. 63); the cell edges are 4.118, 9.917 and 13.181 Å and the angles 90.00°, 90.00° and 90.00°. The distinct sites, in fractional coordinates, are Tb at (0.000, 0.005, 0.250), Tb at (0.000, 0.288, 0.103), Ga at (0.000, 0.000, 0.000), Ni at (0.000, 0.291, 0.750) and Ni at (0.000, 0.422, 0.590).

***

(3)
# Tb2Ga5Ni5

Tb2Ga5Ni5 after structural relaxation (GGA-PBE, Alexandria via LeMat-Bulk).

Its formation energy is -552.1 meV per atom. The distance to the lowest polymorph of the same formula comes out at 0.00 kcal/mol of atoms. Its crystal system is orthorhombic.

The structure belongs to space group Pmmm (No. 47); the cell edges are 4.033, 5.198 and 8.864 Å and the angles 90.00°, 90.00° and 90.00°. The distinct sites, in fractional coordinates, are Tb at (0.000, 0.000, 0.000), Tb at (0.000, 0.500, 0.500), Ga at (0.500, 0.000, 0.500), Ga at (0.500, 0.251, 0.236), Ni at (0.000, 0.000, 0.335), Ni at (0.000, 0.500, 0.171) and Ni at (0.500, 0.500, 0.000).

***

Total energy values, unit eV/atom, following the record order: -5.536 -5.415 -4.994.
Calculated volume values, unit Å³/cell, following the record order: 550.1 538.2 185.8.